Computed, not measured: Tl4SeBrF after structural relaxation at the GGA-PBE level of DFT.

Values from the calculation:
The space-group type is P2_1/m. Its crystal system is monoclinic. The total energy comes out at -3.232 eV/atom. The formation energy from raw total energies comes out at -0.8757 eV per atom. As for the theoretical density: 7240 kg/m3.

a = 7.256 Å, b = 7.170 Å, c = 9.315 Å
α = 90.00°, β = 109.56°, γ = 90.00°
Positions (direct):
1 Tl 0.052 0.012 0.237
2 Tl 0.052 0.488 0.237
3 Tl 0.400 0.250 0.627
4 Tl 0.426 0.250 0.083
5 Tl 0.574 0.750 0.917
6 Tl 0.600 0.750 0.373
7 Tl 0.948 0.512 0.763
8 Tl 0.948 0.988 0.763
9 Se 0.258 0.750 0.062
10 Se 0.742 0.250 0.938
11 Br 0.257 0.750 0.561
12 Br 0.743 0.250 0.439
13 F 0.190 0.250 0.800
14 F 0.810 0.750 0.200

---

Computed, not measured: La4Sm4Dy after structural relaxation at the GGA-PBE level of DFT.

Values from the calculation:
For the energy above the most stable polymorph in this dataset, the calculation gives 0.000 eV per formula unit. The space-group type is I4/mmm. Its crystal system is tetragonal. The total energy comes out at -4.778 eV/atom. As for the theoretical density: 6970 kg/m3.

a = 8.192 Å, b = 8.192 Å, c = 8.192 Å
α = 95.81°, β = 95.81°, γ = 142.90°
Positions (direct):
1 La 0.166 0.166 0.333
2 La 0.166 0.834 0.000
3 La 0.834 0.166 0.000
4 La 0.834 0.834 0.667
5 Sm 0.166 0.500 0.666
6 Sm 0.500 0.166 0.666
7 Sm 0.500 0.834 0.334
8 Sm 0.834 0.500 0.334
9 Dy 0.500 0.500 0.000

---

Computed, not measured: HfScNiAg after structural relaxation at the GGA-PBE level of DFT.

Values from the calculation:
The space-group type is F-43m. Its crystal system is cubic. The total energy comes out at -6.428 eV/atom. As for the theoretical density: 8948 kg/m3.

a = 4.678 Å, b = 4.678 Å, c = 4.678 Å
α = 60.00°, β = 60.00°, γ = 60.00°
Positions (direct):
1 Hf 0.000 0.000 0.000
2 Sc 0.500 0.500 0.500
3 Ni 0.250 0.250 0.250
4 Ag 0.750 0.750 0.750

---

Computed, not measured: SnH2N after structural relaxation at the GGA-PBE level of DFT.

Values from the calculation:
For the energy above the most stable polymorph in this dataset, the calculation gives 0.000 eV per formula unit. The space-group type is I4_1/amd. Its crystal system is tetragonal. The total energy comes out at -3.945 eV/atom. As for the theoretical density: 5517 kg/m3.

a = 8.831 Å, b = 8.831 Å, c = 8.831 Å
α = 159.93°, β = 159.93°, γ = 28.54°
Positions (direct):
1 Sn 0.375 0.625 0.750
2 Sn 0.625 0.375 0.250
3 H 0.000 0.500 0.500
4 H 0.500 0.000 0.000
5 H 0.500 0.500 0.000
6 H 0.500 0.500 0.500
7 N 0.125 0.875 0.250
8 N 0.875 0.125 0.750

---

Computed, not measured: YWN3 after structural relaxation at the GGA-PBE level of DFT.

Values from the calculation:
The space-group type is C2. Its crystal system is monoclinic. The total energy comes out at -9.466 eV/atom. The formation energy from raw total energies comes out at -0.5870 eV per atom. As for the theoretical density: 8298 kg/m3.

a = 5.874 Å, b = 5.874 Å, c = 4.254 Å
α = 111.21°, β = 111.21°, γ = 74.48°
Positions (direct):
1 Y 0.232 0.232 0.232
2 Y 0.768 0.768 0.768
3 W 0.173 0.827 0.500
4 W 0.664 0.336 0.000
5 N 0.411 0.077 0.744
6 N 0.450 0.550 0.318
7 N 0.450 0.550 0.682
8 N 0.884 0.116 0.330
9 N 0.884 0.116 0.670
10 N 0.923 0.589 0.256

---

Computed, not measured: La3Tb4Pm4 after structural relaxation at the GGA-PBE level of DFT.

Values from the calculation:
For the energy above the most stable polymorph in this dataset, the calculation gives 0.160 eV per formula unit. The space-group type is Amm2. Its crystal system is orthorhombic. The total energy comes out at -4.606 eV/atom. As for the theoretical density: 7026 kg/m3.

a = 10.872 Å, b = 6.760 Å, c = 6.760 Å
α = 50.95°, β = 90.00°, γ = 90.00°
Positions (direct):
1 La 0.000 0.000 0.000
2 La 0.290 0.158 0.158
3 La 0.710 0.158 0.158
4 Tb 0.000 0.303 0.303
5 Tb 0.304 0.854 0.854
6 Tb 0.500 0.361 0.361
7 Tb 0.696 0.854 0.854
8 Pm 0.000 0.703 0.703
9 Pm 0.215 0.495 0.495
10 Pm 0.500 0.632 0.632
11 Pm 0.785 0.495 0.495